# 1
Crystalline Er2ScVO6 at its relaxed geometry, computed with GGA+U.

Summary:
final energy = -8.45 eV/atom
SG = R3

The structure in extended XYZ format:
```
10
Lattice="2.752 1.589 4.789 -2.752 1.589 4.789 0.000 -3.177 4.789" Properties=species:S:1:pos:R:3 pbc="T T T"
Er 0.000 0.000 0.000
Er 0.000 0.000 7.130
Sc 0.000 0.000 4.018
V 0.000 0.000 11.259
O -0.982 -1.315 5.479
O -2.106 -0.127 7.850
O -0.648 1.508 5.479
O 1.163 -1.760 7.850
O 1.630 -0.192 5.479
O 0.943 1.887 7.850
```

# 2
Crystalline ErSc2WO8 at its relaxed geometry, computed with GGA+U.

Summary:
final energy = -8.18 eV/atom
SG = Cmmm

The structure in extended XYZ format:
```
12
Lattice="3.425 -3.451 0.000 3.425 3.451 0.000 0.000 0.000 6.551" Properties=species:S:1:pos:R:3 pbc="T T T"
Er 0.000 0.000 0.000
Sc 3.425 0.000 1.628
Sc 3.425 0.000 4.923
W 0.000 0.000 3.276
O 3.425 2.124 1.852
O 3.425 2.124 4.699
O 1.966 0.000 3.276
O 2.168 0.000 0.000
O 4.682 0.000 0.000
O 4.884 0.000 3.276
O 3.425 -2.124 1.852
O 3.425 -2.124 4.699
```